No. 1
A geometry-optimized HoPuRe4 structure. Source: Alexandria, functional PBE-GGA.

Values from the calculation:
**Energy of formation**: -0.081 eV/atom
**Size of the total moment**: 1.0242 μB/atom
**SG**: F-43m

```
HoPuRe4
1.0
-3.8247 1.0081 -3.6934
-5.1603 0.5582 1.5315
-2.3668 4.8630 -0.1862
Pu Re Ho
1 4 1
Direct
0.2500 0.2500 0.2500
0.1245 0.6252 0.6252
0.6252 0.6252 0.6252
0.6252 0.6252 0.1245
0.6252 0.1245 0.6252
0.0000 0.0000 0.0000
```

No. 2
A geometry-optimized AgSn6Pt structure. Source: Alexandria, functional PBE-GGA.

Values from the calculation:
**Energy of formation**: -0.059 eV/atom
**Size of the total moment**: 0.0000 μB/atom
**SG**: C2/m

```
AgSn6Pt
1.0
-3.8309 4.4195 -0.1803
-6.7418 1.2444 4.2179
-0.4295 3.3310 6.0113
Sn Pt Ag
6 1 1
Direct
0.2511 0.9584 0.5752
0.2511 0.5336 0.4248
0.2979 0.2603 0.0000
0.7489 0.0416 0.4248
0.7021 0.7397 0.0000
0.7489 0.4664 0.5752
0.5000 0.5000 0.0000
0.0000 0.0000 0.0000
```

No. 3
A geometry-optimized La2Sm6Dy3Tl structure. Source: Alexandria, functional PBE-GGA.

Values from the calculation:
**Energy of formation**: -0.039 eV/atom
**Size of the total moment**: 0.0000 μB/atom
**SG**: C2/m

```
La2Sm6Dy3Tl
1.0
-1.6553 4.3728 4.0658
-1.4516 -5.9300 1.0582
11.2082 -0.9443 3.9940
Sm Dy Tl La
6 3 1 2
Direct
0.7581 0.7581 0.2534
0.5903 0.9162 0.7475
0.4097 0.0838 0.2525
0.0838 0.4097 0.2525
0.2419 0.2419 0.7466
0.9162 0.5903 0.7475
0.1672 0.8328 0.5000
0.5000 0.5000 0.5000
0.8328 0.1672 0.5000
0.0000 0.0000 0.0000
0.3336 0.6664 0.0000
0.6664 0.3336 0.0000
```

No. 4
A geometry-optimized InTc2Sb structure. Source: Alexandria, functional PBE-GGA.

Values from the calculation:
**Energy above the lowest structure with this stoichiometry**: 0.155 eV/atom
**Size of the total moment**: 0.0002 μB/atom
**SG**: P4/mmm
**E_form (uncorrected)**: 0.250 eV/atom

```
InTc2Sb
1.0
-0.6350 -2.4345 2.0667
-1.2739 -1.7392 -2.4400
5.9191 -2.5963 -1.2397
In Tc Sb
1 2 1
Direct
0.5000 0.5000 0.2500
0.0000 0.0000 0.5142
0.0000 0.0000 0.9858
0.5000 0.5000 0.7500
```

size of the total moment of number 2 (AgSn6Pt)? 0.0000 μB/atom